Entry from Alexandria via LeMat-Bulk: a relaxed ZnFeNiF2 crystal (GGA+U).

The value obtained for the total energy is -3.137 eV per atom.

The structure belongs to space group P4/mmm (No. 123); the cell edges are 3.865, 3.865 and 5.459 Å and the angles 90.00°, 90.00° and 90.00°. The distinct sites, in fractional coordinates, are Zn at (0.000, 0.000, 0.000), Fe at (0.500, 0.500, 0.500), Ni at (0.000, 0.000, 0.500) and F at (0.000, 0.500, 0.000).